Entry 1:
## SmYIrRh (PBE)

Data for a relaxed structure of SmYIrRh.

## Properties
E_tot: -121.88 eV/cell

Cell: 6.937 6.937 6.937 Å, 90.00 90.00 90.00°
Element x y z (fractional)
Sm (0.000, 0.000, 0.000)
Sm (0.000, 0.500, 0.500)
Sm (0.500, 0.000, 0.500)
Sm (0.500, 0.500, 0.000)
Y (0.000, 0.000, 0.500)
Y (0.000, 0.500, 0.000)
Y (0.500, 0.000, 0.000)
Y (0.500, 0.500, 0.500)
Ir (0.250, 0.250, 0.750)
Ir (0.250, 0.750, 0.250)
Ir (0.750, 0.250, 0.250)
Ir (0.750, 0.750, 0.750)
Rh (0.250, 0.250, 0.250)
Rh (0.250, 0.750, 0.750)
Rh (0.750, 0.250, 0.750)
Rh (0.750, 0.750, 0.250)

Entry 2:
## Ba2NaPd (PBE)

Data for a relaxed structure of Ba2NaPd.

## Properties
E_tot: -11.44 eV/cell

Cell: 4.010 4.010 9.694 Å, 90.00 90.00 90.00°
Element x y z (fractional)
Ba (0.000, 0.000, 0.192)
Ba (0.000, 0.000, 0.808)
Na (0.500, 0.500, 0.500)
Pd (0.500, 0.500, 0.000)

Entry 3:
## Ba5Bi2PI (PBE)

Data for a relaxed structure of Ba5Bi2PI.

## Properties
Energy relative to the elements, uncorrected: -1.00 eV per atom

Cell: 10.239 10.239 10.239 Å, 146.09 129.83 61.93°
Element x y z (fractional)
Ba (0.000, 0.000, 0.000)
Ba (0.085, 0.355, 0.729)
Ba (0.374, 0.645, 0.729)
Ba (0.626, 0.355, 0.271)
Ba (0.915, 0.645, 0.271)
Bi (0.203, 0.203, 0.000)
Bi (0.797, 0.797, 0.000)
P (0.000, 0.500, 0.500)
I (0.500, 0.000, 0.500)

Entry 4:
## V2Pd4Pt (PBE)

Data for a relaxed structure of V2Pd4Pt.

## Properties
E_tot: -88.55 eV/cell

Cell: 6.602 6.602 6.602 Å, 109.69 109.69 109.04°
Element x y z (fractional)
V (0.028, 0.625, 0.903)
V (0.375, 0.278, 0.403)
V (0.722, 0.125, 0.097)
V (0.875, 0.972, 0.597)
Pd (0.089, 0.350, 0.573)
Pd (0.100, 0.339, 0.073)
Pd (0.266, 0.027, 0.927)
Pd (0.484, 0.911, 0.261)
Pd (0.650, 0.223, 0.739)
Pd (0.661, 0.734, 0.761)
Pd (0.777, 0.516, 0.427)
Pd (0.973, 0.900, 0.239)
Pt (0.250, 0.750, 0.500)
Pt (0.500, 0.500, 0.000)

Entry 5:
## CdH6Ir2Pb (PBE)

Data for a relaxed structure of CdH6Ir2Pb.

## Properties
E_tot: -83.10 eV/cell

Cell: 7.316 7.316 5.215 Å, 102.34 102.34 116.43°
Element x y z (fractional)
Cd (0.214, 0.786, 0.750)
Cd (0.786, 0.214, 0.250)
H (0.004, 0.127, 0.517)
H (0.009, 0.342, 0.797)
H (0.127, 0.004, 0.017)
H (0.212, 0.240, 0.347)
H (0.240, 0.212, 0.847)
H (0.342, 0.009, 0.297)
H (0.658, 0.991, 0.703)
H (0.760, 0.788, 0.153)
H (0.788, 0.760, 0.653)
H (0.873, 0.996, 0.983)
H (0.991, 0.658, 0.203)
H (0.996, 0.873, 0.483)
Ir (0.199, 0.377, 0.672)
Ir (0.377, 0.199, 0.172)
Ir (0.623, 0.801, 0.828)
Ir (0.801, 0.623, 0.328)
Pb (0.378, 0.622, 0.250)
Pb (0.622, 0.378, 0.750)

Entry 6:
## LaTb5Er2 (PBE)

Data for a relaxed structure of LaTb5Er2.

## Properties
E_tot: -37.03 eV/cell

Cell: 8.497 7.262 6.771 Å, 74.44 55.42 50.14°
Element x y z (fractional)
La (0.000, 0.000, 0.000)
Tb (0.000, 0.502, 0.000)
Tb (0.084, 0.084, 0.416)
Tb (0.502, 0.000, 0.498)
Tb (0.503, 0.503, 0.497)
Tb (0.584, 0.584, 0.916)
Er (0.087, 0.582, 0.418)
Er (0.582, 0.087, 0.913)

Entry 7:
## CaHgPb2 (PBE)

Data for a relaxed structure of CaHgPb2.

## Properties
E_tot: -21.64 eV/cell

Cell: 12.523 3.661 5.709 Å, 90.00 117.09 90.00°
Element x y z (fractional)
Ca (0.000, 0.000, 0.000)
Ca (0.500, 0.500, 0.000)
Hg (0.229, 0.500, 0.118)
Hg (0.729, 0.000, 0.118)
Pb (0.239, 0.000, 0.638)
Pb (0.471, 0.000, 0.469)
Pb (0.739, 0.500, 0.638)
Pb (0.971, 0.500, 0.469)

Entry 8:
## MgSbCl2 (PBE)

Data for a relaxed structure of MgSbCl2.

## Properties
Energy relative to the elements, uncorrected: -0.41 eV per atom

Cell: 3.480 3.480 28.622 Å, 90.00 90.00 120.00°
Element x y z (fractional)
Mg (0.000, 0.000, 0.000)
Mg (0.333, 0.667, 0.667)
Mg (0.667, 0.333, 0.333)
Sb (0.000, 0.000, 0.500)
Sb (0.333, 0.667, 0.167)
Sb (0.667, 0.333, 0.833)
Cl (0.000, 0.000, 0.085)
Cl (0.000, 0.000, 0.915)
Cl (0.333, 0.667, 0.582)
Cl (0.333, 0.667, 0.751)
Cl (0.667, 0.333, 0.249)
Cl (0.667, 0.333, 0.418)